A | {
  "formula": "InRe2As2",
  "functional": "PBE",
  "state": "relaxed",
  "cell": [[3.9514, 0.0000, 0.0000], [0.0000, 3.9514, 0.0000], [1.9757, 1.9757, 5.8367]],
  "species": ["Re", "Re", "In", "As", "As"],
  "frac_coords": [[0.3833, 0.3833, 0.2334], [0.6167, 0.6167, 0.7666], [0.0000, 0.0000, 0.0000], [0.2500, 0.7500, 0.5000], [0.7500, 0.2500, 0.5000]],
  "n_ef_per_ev_cell": 4.39,
  "m_tot_mub_per_cell": 0.00
}

---

B | {
  "formula": "InRe2As2",
  "functional": "PBE",
  "state": "relaxed",
  "cell": [[-6.9946, -2.3760, -0.1172], [0.7456, -2.5354, 6.8992], [-0.9537, 2.7525, 1.1146]],
  "species": ["In", "In", "As", "As", "As", "As", "Re", "Re", "Re", "Re"],
  "frac_coords": [[0.0000, 0.0000, 0.0000], [0.5000, 0.5000, 0.0000], [0.1428, 0.6428, 0.5000], [0.6428, 0.8572, 0.5000], [0.8572, 0.3572, 0.5000], [0.3572, 0.1428, 0.5000], [0.3537, 0.8537, 0.0000], [0.6463, 0.1463, 0.0000], [0.1463, 0.3537, 0.0000], [0.8537, 0.6463, 0.0000]],
  "n_ef_per_ev_cell": 9.45,
  "m_tot_mub_per_cell": 0.00
}

---

The structure with the least stability is B.

---

A | {
  "formula": "In3ReAs",
  "functional": "PBE",
  "state": "relaxed",
  "cell": [[5.2808, 0.0000, 0.0000], [0.0000, 5.2808, 0.0000], [0.0000, 0.0000, 5.2808]],
  "species": ["In", "In", "In", "Re", "As"],
  "frac_coords": [[0.5000, 0.0000, 0.0000], [0.0000, 0.5000, 0.0000], [0.0000, 0.0000, 0.5000], [0.5000, 0.5000, 0.5000], [0.0000, 0.0000, 0.0000]],
  "n_ef_per_ev_cell": 3.47,
  "m_tot_mub_per_cell": 3.78
}

---

B | {
  "formula": "In3ReAs",
  "functional": "PBE",
  "state": "relaxed",
  "cell": [[-4.4652, 1.2736, -2.4625], [-2.1152, -4.5829, 1.4651], [-1.7922, 2.2357, 4.4060]],
  "species": ["In", "In", "In", "As", "Re"],
  "frac_coords": [[0.5000, 0.0000, 0.0000], [0.0000, 0.5000, 0.0000], [0.0000, 0.0000, 0.5000], [0.5000, 0.5000, 0.5000], [0.0000, 0.0000, 0.0000]],
  "n_ef_per_ev_cell": 2.46,
  "m_tot_mub_per_cell": 2.71
}

---

The structure with the least stability is A.